i:
! Tc2SeCl, PBEsol geometry, DFT meta-GGA SCAN; values from VASP
&SYSTEM
  ibrav = 0, nat = 4, ntyp = 3
/
ATOMIC_SPECIES
Tc 98.00 Tc.upf
Se 78.96 Se.upf
Cl 35.45 Cl.upf
ATOMIC_POSITIONS angstrom
Tc 0.0000 2.1522 0.0000
Tc 2.1522 0.0000 0.0000
Se 0.0000 0.0000 1.5205
Cl 2.1522 2.1522 1.5205
CELL_PARAMETERS angstrom
4.3044 0.0000 0.0000
0.0000 4.3044 0.0000
0.0000 0.0000 3.0409
! M_tot ... 0.000 μB/cell
! SG ... No. 123



ii:
! Tc2SeCl, PBEsol geometry, DFT meta-GGA SCAN; values from VASP
&SYSTEM
  ibrav = 0, nat = 4, ntyp = 3
/
ATOMIC_SPECIES
Tc 98.00 Tc.upf
Se 78.96 Se.upf
Cl 35.45 Cl.upf
ATOMIC_POSITIONS angstrom
Tc 0.0000 0.0000 0.0000
Tc 1.4762 1.9024 1.1706
Se 1.4762 1.9024 4.8854
Cl 0.0000 0.0000 2.2916
CELL_PARAMETERS angstrom
2.9523 0.0000 0.0000
0.0000 3.8047 0.0000
0.0000 0.0000 6.0741
! M_tot ... 0.000 μB/cell
! SG ... No. 25



ii (52.4 kJ/mol of atoms below the next structure)



i:
! TlSe2Cl, PBEsol geometry, DFT meta-GGA SCAN; values from VASP
&SYSTEM
  ibrav = 0, nat = 4, ntyp = 3
/
ATOMIC_SPECIES
Tl 204.38 Tl.upf
Se 78.96 Se.upf
Cl 35.45 Cl.upf
ATOMIC_POSITIONS angstrom
Tl 0.0000 0.0000 0.0000
Se 0.0000 1.9597 3.2856
Se 1.9597 0.0000 3.2856
Cl 1.9597 1.9597 0.0000
CELL_PARAMETERS angstrom
3.9193 0.0000 0.0000
0.0000 3.9193 0.0000
0.0000 0.0000 6.5711
! M_tot ... 0.000 μB/cell
! SG ... No. 123



ii:
! TlSe2Cl, PBEsol geometry, DFT meta-GGA SCAN; values from VASP
&SYSTEM
  ibrav = 0, nat = 4, ntyp = 3
/
ATOMIC_SPECIES
Tl 204.38 Tl.upf
Se 78.96 Se.upf
Cl 35.45 Cl.upf
ATOMIC_POSITIONS angstrom
Tl 0.0000 0.0000 0.0000
Se 1.5498 1.5498 2.4593
Se 1.5498 1.5498 6.5892
Cl 0.0000 0.0000 4.5242
CELL_PARAMETERS angstrom
3.0996 0.0000 0.0000
0.0000 3.0996 0.0000
0.0000 0.0000 9.0485
! M_tot ... 0.000 μB/cell
! SG ... No. 123



i (60.4 kJ/mol of atoms below the next structure)



i:
! TlSe2Cl, PBEsol geometry, DFT meta-GGA SCAN; values from VASP
&SYSTEM
  ibrav = 0, nat = 12, ntyp = 3
/
ATOMIC_SPECIES
Tl 204.38 Tl.upf
Se 78.96 Se.upf
Cl 35.45 Cl.upf
ATOMIC_POSITIONS angstrom
Tl 0.0000 0.0000 0.0000
Tl 0.0000 2.4288 15.6152
Tl 2.1034 1.2144 7.8076
Se 0.0000 0.0000 9.2705
Se 0.0000 0.0000 14.1523
Se 0.0000 2.4288 1.4629
Se 0.0000 2.4288 6.3447
Se 2.1034 1.2144 17.0781
Se 2.1034 1.2144 21.9599
Cl 0.0000 0.0000 11.7114
Cl 0.0000 2.4288 3.9038
Cl 2.1034 1.2144 19.5190
CELL_PARAMETERS angstrom
4.2068 0.0000 0.0000
-2.1034 3.6432 0.0000
0.0000 0.0000 23.4228
! M_tot ... 0.000 μB/cell
! SG ... No. 166



ii:
! TlSe2Cl, PBEsol geometry, DFT meta-GGA SCAN; values from VASP
&SYSTEM
  ibrav = 0, nat = 8, ntyp = 3
/
ATOMIC_SPECIES
Tl 204.38 Tl.upf
Se 78.96 Se.upf
Cl 35.45 Cl.upf
ATOMIC_POSITIONS angstrom
Tl 0.0000 0.0000 0.0000
Tl 1.8524 2.9872 4.7304
Se 0.0000 0.0000 5.0923
Se 0.0000 2.9872 8.1651
Se 1.8524 0.0000 3.4348
Se 1.8524 2.9872 0.3619
Cl 0.0000 2.9872 2.3813
Cl 1.8524 0.0000 7.1116
CELL_PARAMETERS angstrom
3.7048 0.0000 0.0000
0.0000 5.9743 0.0000
0.0000 0.0000 9.4608
! M_tot ... 0.000 μB/cell
! SG ... No. 44



ii (31.9 kJ/mol of atoms below the next structure)



i:
! YSeCl2, PBEsol geometry, DFT meta-GGA SCAN; values from VASP
&SYSTEM
  ibrav = 0, nat = 16, ntyp = 3
/
ATOMIC_SPECIES
Y 88.91 Y.upf
Se 78.96 Se.upf
Cl 35.45 Cl.upf
ATOMIC_POSITIONS angstrom
Y 0.0000 0.0000 0.0000
Y 0.0000 3.4378 3.4378
Y 3.4378 0.0000 3.4378
Y 3.4378 3.4378 0.0000
Se 0.0000 0.0000 3.4378
Se 0.0000 3.4378 0.0000
Se 3.4378 0.0000 0.0000
Se 3.4378 3.4378 3.4378
Cl 1.7189 1.7189 1.7189
Cl 1.7189 1.7189 5.1566
Cl 1.7189 5.1566 1.7189
Cl 1.7189 5.1566 5.1566
Cl 5.1566 1.7189 1.7189
Cl 5.1566 1.7189 5.1566
Cl 5.1566 5.1566 1.7189
Cl 5.1566 5.1566 5.1566
CELL_PARAMETERS angstrom
6.8755 0.0000 0.0000
0.0000 6.8755 0.0000
0.0000 0.0000 6.8755
! M_tot ... 4.008 μB/cell
! SG ... No. 225



ii:
! YSeCl2, PBEsol geometry, DFT meta-GGA SCAN; values from VASP
&SYSTEM
  ibrav = 0, nat = 4, ntyp = 3
/
ATOMIC_SPECIES
Y 88.91 Y.upf
Se 78.96 Se.upf
Cl 35.45 Cl.upf
ATOMIC_POSITIONS angstrom
Y 0.0000 0.0000 0.0000
Se 1.9638 0.0000 2.3418
Cl 0.0000 2.2455 2.3418
Cl 1.9638 2.2455 0.0000
CELL_PARAMETERS angstrom
3.9275 0.0000 0.0000
0.0000 4.4910 0.0000
0.0000 0.0000 4.6836
! M_tot ... 0.001 μB/cell
! SG ... No. 47



ii (7.7 kJ/mol of atoms below the next structure)



i:
! Y2Se2Cl, PBEsol geometry, DFT meta-GGA SCAN; values from VASP
&SYSTEM
  ibrav = 0, nat = 10, ntyp = 3
/
ATOMIC_SPECIES
Y 88.91 Y.upf
Se 78.96 Se.upf
Cl 35.45 Cl.upf
ATOMIC_POSITIONS angstrom
Y 1.1912 2.6436 0.0000
Y 2.6436 6.4784 0.0000
Y 5.0259 1.1912 0.0000
Y 6.4784 5.0259 0.0000
Se 1.0958 4.9306 1.8716
Se 2.7389 1.0958 1.8716
Se 4.9306 6.5737 1.8716
Se 6.5737 2.7389 1.8716
Cl 0.0000 0.0000 0.0000
Cl 3.8348 3.8348 0.0000
CELL_PARAMETERS angstrom
7.6696 0.0000 0.0000
0.0000 7.6696 0.0000
0.0000 0.0000 3.7432
! M_tot ... 0.000 μB/cell
! SG ... No. 127



ii:
! Y2Se2Cl, PBEsol geometry, DFT meta-GGA SCAN; values from VASP
&SYSTEM
  ibrav = 0, nat = 10, ntyp = 3
/
ATOMIC_SPECIES
Y 88.91 Y.upf
Se 78.96 Se.upf
Cl 35.45 Cl.upf
ATOMIC_POSITIONS angstrom
Y 0.0000 0.0000 1.8211
Y 0.0000 0.0000 10.6053
Y 2.4474 2.4474 4.3921
Y 2.4474 2.4474 8.0343
Se 0.0000 2.4474 3.1066
Se 0.0000 2.4474 9.3198
Se 2.4474 0.0000 3.1066
Se 2.4474 0.0000 9.3198
Cl 0.0000 0.0000 6.2132
Cl 2.4474 2.4474 0.0000
CELL_PARAMETERS angstrom
4.8947 0.0000 0.0000
0.0000 4.8947 0.0000
0.0000 0.0000 12.4264
! M_tot ... 2.000 μB/cell
! SG ... No. 139



i (44.4 kJ/mol of atoms below the next structure)



i:
! Zn2SeCl, PBEsol geometry, DFT meta-GGA SCAN; values from VASP
&SYSTEM
  ibrav = 0, nat = 8, ntyp = 3
/
ATOMIC_SPECIES
Zn 65.41 Zn.upf
Se 78.96 Se.upf
Cl 35.45 Cl.upf
ATOMIC_POSITIONS angstrom
Zn 0.0000 0.0000 1.7031
Zn 0.0000 0.0000 5.3088
Zn 1.8294 3.2285 1.8028
Zn 1.8294 3.2285 5.2091
Se 0.0000 3.2285 3.5060
Se 1.8294 0.0000 0.0000
Cl 0.0000 3.2285 0.0000
Cl 1.8294 0.0000 3.5060
CELL_PARAMETERS angstrom
3.6588 0.0000 0.0000
0.0000 6.4569 0.0000
0.0000 0.0000 7.0119
! M_tot ... 0.000 μB/cell
! SG ... No. 71



ii:
! Zn2SeCl, PBEsol geometry, DFT meta-GGA SCAN; values from VASP
&SYSTEM
  ibrav = 0, nat = 8, ntyp = 3
/
ATOMIC_SPECIES
Zn 65.41 Zn.upf
Se 78.96 Se.upf
Cl 35.45 Cl.upf
ATOMIC_POSITIONS angstrom
Zn 0.0000 0.0000 1.6457
Zn 0.0000 0.0000 5.3972
Zn 1.8344 3.4146 1.6457
Zn 1.8344 3.4146 5.3972
Se 0.0000 3.4146 0.0000
Se 1.8344 0.0000 0.0000
Cl 0.0000 3.4146 3.5215
Cl 1.8344 0.0000 3.5215
CELL_PARAMETERS angstrom
3.6689 0.0000 0.0000
0.0000 6.8293 0.0000
0.0000 0.0000 7.0429
! M_tot ... 0.000 μB/cell
! SG ... No. 65



i (1.9 kJ/mol of atoms below the next structure)